K2NaCo3F12: relaxed, PBE with a Hubbard U.

Theoretical density in kg/m3: 3158
E in eV/cell: -80.76

Geometry as POSCAR:
```
K2NaCo3F12
1.0
3.7124 2.1433 5.5722
-3.7124 2.1433 5.5722
0.0000 -4.2867 5.5722
K Na Co F
2 1 3 12
Direct
0.1202 0.1202 0.1202
0.8798 0.8798 0.8798
0.5000 0.5000 0.5000
0.0000 0.5000 0.5000
0.5000 0.0000 0.5000
0.5000 0.5000 0.0000
0.0979 0.6145 0.6145
0.2092 0.2092 0.5965
0.2092 0.5965 0.2092
0.3855 0.3855 0.9021
0.3855 0.9021 0.3855
0.4035 0.7908 0.7908
0.5965 0.2092 0.2092
0.6145 0.0979 0.6145
0.6145 0.6145 0.0979
0.7908 0.4035 0.7908
0.7908 0.7908 0.4035
0.9021 0.3855 0.3855
```